{"formula": "NaZnO2F", "functional": "PBE", "state": "relaxed", "lattice_angstrom": [[3.7871, 0.0000, 0.0000], [0.0000, 3.7871, 0.0000], [0.0000, 0.0000, 4.3376]], "species": ["Na", "Zn", "O", "O", "F"], "frac_coords": [[0.0000, 0.0000, 0.0000], [0.5000, 0.5000, 0.5000], [0.0000, 0.5000, 0.5000], [0.5000, 0.0000, 0.5000], [0.5000, 0.5000, 0.0000]], "formation_energy_uncorrected_mev_per_atom": -1080.3}

---

{"formula": "NaZnO2F", "functional": "PBE", "state": "relaxed", "lattice_angstrom": [[4.1025, 0.0000, 0.0000], [0.0000, 4.1025, 0.0000], [0.0000, 0.0000, 4.0091]], "species": ["Na", "Zn", "O", "O", "F"], "frac_coords": [[0.0000, 0.0000, 0.0000], [0.5000, 0.5000, 0.5000], [0.0000, 0.5000, 0.0000], [0.5000, 0.0000, 0.0000], [0.0000, 0.0000, 0.5000]], "formation_energy_uncorrected_mev_per_atom": -137.7}

---

{"formula": "Na2OsF2", "functional": "PBE", "state": "relaxed", "lattice_angstrom": [[4.1375, 0.0000, 0.0000], [0.0000, 4.1375, 0.0000], [0.0000, 0.0000, 12.6403]], "species": ["Na", "Na", "Na", "Na", "Os", "Os", "F", "F", "F", "F"], "frac_coords": [[0.0000, 0.5000, 0.2500], [0.0000, 0.5000, 0.7500], [0.5000, 0.0000, 0.2500], [0.5000, 0.0000, 0.7500], [0.0000, 0.0000, 0.0000], [0.5000, 0.5000, 0.5000], [0.0000, 0.0000, 0.3101], [0.0000, 0.0000, 0.6899], [0.5000, 0.5000, 0.1899], [0.5000, 0.5000, 0.8101]], "de_polymorph_ev_per_atom": 0.278, "formation_energy_uncorrected_mev_per_atom": -489.7}

---

no.,magnetization (Bohr magnetons per cell)
1,0.07
2,2.01
3,8.00